# 1
Ba2NaCa: optimized geometry, PBE.

a b c (Å): 4.704 4.704 9.513
angles (deg): 90.00 90.00 90.00
Fractional positions:
Ba 0.000 0.000 0.244
Ba 0.000 0.000 0.756
Na 0.500 0.500 0.000
Ca 0.500 0.500 0.500

Total moment ... 0.12 μB/cell
Energy of formation ... 0.03 eV per atom
Space group ... P4/mmm
Density of states at the Fermi level ... 1.484 states/eV per atom

***

# 2
Ba5NaCa: optimized geometry, PBE.

a b c (Å): 8.164 8.164 15.570
angles (deg): 106.97 106.97 56.97
Fractional positions:
Ba 0.217 0.248 0.694
Ba 0.234 0.766 0.750
Ba 0.248 0.217 0.194
Ba 0.326 0.347 0.971
Ba 0.347 0.326 0.471
Ba 0.653 0.674 0.529
Ba 0.674 0.653 0.029
Ba 0.752 0.783 0.806
Ba 0.766 0.234 0.250
Ba 0.783 0.752 0.306
Na 0.000 0.000 0.000
Na 0.000 0.000 0.500
Ca 0.265 0.735 0.250
Ca 0.735 0.265 0.750

Total moment ... 0.00 μB/cell
Energy of formation ... 0.12 eV per atom
Space group ... C2/c
Density of states at the Fermi level ... 1.228 states/eV per atom

***

# 3
Ba3Na4Ca2: optimized geometry, PBE.

a b c (Å): 6.437 6.437 11.819
angles (deg): 90.00 90.00 120.00
Fractional positions:
Ba 0.000 0.000 0.000
Ba 0.333 0.667 0.584
Ba 0.667 0.333 0.416
Na 0.000 0.000 0.340
Na 0.000 0.000 0.660
Na 0.333 0.667 0.901
Na 0.667 0.333 0.099
Ca 0.333 0.667 0.221
Ca 0.667 0.333 0.779

Total moment ... 0.00 μB/cell
Energy of formation ... 0.05 eV per atom
Space group ... P-3m1
Density of states at the Fermi level ... 0.983 states/eV per atom

***

# 4
Ba2Na2Ca: optimized geometry, PBE.

a b c (Å): 10.895 10.895 4.204
angles (deg): 90.00 90.00 90.00
Fractional positions:
Ba 0.140 0.360 0.000
Ba 0.360 0.860 0.000
Ba 0.640 0.140 0.000
Ba 0.860 0.640 0.000
Na 0.158 0.658 0.500
Na 0.342 0.158 0.500
Na 0.658 0.842 0.500
Na 0.842 0.342 0.500
Ca 0.000 0.000 0.000
Ca 0.500 0.500 0.000

Total moment ... 0.04 μB/cell
Energy of formation ... 0.15 eV per atom
Space group ... P4/mbm
Density of states at the Fermi level ... 1.519 states/eV per atom

***

# 5
Ba6NaCa: optimized geometry, PBE.

a b c (Å): 7.757 7.762 7.757
angles (deg): 90.00 90.05 90.00
Fractional positions:
Ba 0.000 0.000 0.250
Ba 0.000 0.000 0.750
Ba 0.249 0.500 0.000
Ba 0.500 0.250 0.500
Ba 0.500 0.750 0.500
Ba 0.751 0.500 0.000
Na 0.500 0.000 0.000
Ca 0.000 0.500 0.500

Total moment ... 0.19 μB/cell
Energy of formation ... 0.05 eV per atom
Space group ... P2/m
Density of states at the Fermi level ... 0.909 states/eV per atom

***

# 6
BaNaCa: optimized geometry, PBE.

a b c (Å): 14.989 4.133 9.384
angles (deg): 90.00 90.00 90.00
Fractional positions:
Ba 0.200 0.250 0.211
Ba 0.300 0.750 0.711
Ba 0.700 0.250 0.289
Ba 0.800 0.750 0.789
Na 0.084 0.750 0.512
Na 0.416 0.250 0.012
Na 0.584 0.750 0.988
Na 0.916 0.250 0.488
Ca 0.052 0.250 0.843
Ca 0.448 0.750 0.343
Ca 0.552 0.250 0.657
Ca 0.948 0.750 0.157

Total moment ... 0.00 μB/cell
Energy of formation ... 0.10 eV per atom
Space group ... Pnma
Density of states at the Fermi level ... 1.178 states/eV per atom